[1]
# Pr2Sm4Ho3

A relaxed structure of Pr2Sm4Ho3 (GGA-PBE, Alexandria). Values from VASP.

## Properties
The space group is No. 12.

Structure (Quantum ESPRESSO input):
```
&SYSTEM
  ibrav = 0, nat = 9, ntyp = 3
/
ATOMIC_SPECIES
Sm 150.36 Sm.upf
Ho 164.93 Ho.upf
Pr 140.91 Pr.upf
CELL_PARAMETERS angstrom
-1.077 2.722 2.015
-3.383 -5.606 5.763
9.699 -0.544 2.786
ATOMIC_POSITIONS angstrom
Sm 1.297 -1.911 6.408
Sm 3.942 -1.518 4.157
Sm 7.209 -1.031 5.247
Sm -1.971 -2.398 5.318
Ho 4.526 -1.572 7.677
Ho 0.713 -1.857 2.888
Ho 0.000 0.000 0.000
Pr 2.866 -4.818 8.039
Pr 2.373 1.389 2.526
```

[2]
# Pr5Sm2Ho6

A relaxed structure of Pr5Sm2Ho6 (GGA-PBE, Alexandria). Values from VASP.

## Properties
The space group is No. 55.

Structure (Quantum ESPRESSO input):
```
&SYSTEM
  ibrav = 0, nat = 26, ntyp = 3
/
ATOMIC_SPECIES
Pr 140.91 Pr.upf
Ho 164.93 Ho.upf
Sm 150.36 Sm.upf
CELL_PARAMETERS angstrom
-1.428 -2.918 1.602
10.160 -1.911 5.579
-6.425 11.785 15.737
ATOMIC_POSITIONS angstrom
Pr -1.316 1.033 4.804
Pr -3.927 4.433 8.670
Pr 4.366 -2.414 3.590
Pr -0.552 3.268 9.556
Pr 3.623 5.923 18.114
Pr 2.859 3.688 13.362
Pr -4.789 9.353 16.862
Pr 7.096 -2.397 6.056
Pr -1.135 6.287 14.536
Pr 3.441 0.669 8.382
Ho 1.693 -0.488 4.716
Ho 5.290 1.276 11.137
Ho 3.004 3.882 9.750
Ho 0.115 0.819 1.595
Ho 0.731 5.992 11.566
Ho -1.563 4.180 6.220
Ho 3.620 9.055 19.721
Ho -2.984 5.680 11.781
Ho -1.291 9.417 16.002
Ho 0.614 7.444 18.202
Ho 5.298 5.694 15.096
Ho 5.026 0.457 5.314
Sm -3.296 8.938 13.343
Sm 1.482 2.752 6.334
Sm 7.031 0.935 7.973
Sm 2.253 7.122 14.982
```

[3]
# Pr2SmHo6

A relaxed structure of Pr2SmHo6 (GGA-PBE, Alexandria). Values from VASP.

## Properties
The space group is No. 160.

Structure (Quantum ESPRESSO input):
```
&SYSTEM
  ibrav = 0, nat = 9, ntyp = 3
/
ATOMIC_SPECIES
Ho 164.93 Ho.upf
Pr 140.91 Pr.upf
Sm 150.36 Sm.upf
CELL_PARAMETERS angstrom
6.966 0.000 0.000
3.483 6.032 0.000
3.483 2.011 7.695
ATOMIC_POSITIONS angstrom
Ho 5.250 0.990 2.535
Ho 5.262 3.038 5.119
Ho 3.483 4.052 2.535
Ho 8.669 3.038 5.119
Ho 6.965 5.988 5.119
Ho 1.715 0.990 2.535
Pr 6.966 4.022 1.900
Pr 10.448 6.032 5.976
Sm 6.966 4.022 7.662
```

[4]
# Pr7Sm2Ho

A relaxed structure of Pr7Sm2Ho (GGA-PBE, Alexandria). Values from VASP.

## Properties
The space group is No. 65.

Structure (Quantum ESPRESSO input):
```
&SYSTEM
  ibrav = 0, nat = 10, ntyp = 3
/
ATOMIC_SPECIES
Sm 150.36 Sm.upf
Pr 140.91 Pr.upf
Ho 164.93 Ho.upf
CELL_PARAMETERS angstrom
-2.757 3.979 -2.797
-6.443 -6.475 -2.859
-0.646 5.188 8.017
ATOMIC_POSITIONS angstrom
Sm -3.734 3.738 3.411
Sm -6.112 -1.046 -1.050
Pr -4.923 1.346 1.181
Pr -7.830 -0.358 1.622
Pr -5.190 -3.954 -0.508
Pr -1.899 2.667 5.666
Pr -6.544 2.228 4.034
Pr -2.016 3.050 0.739
Pr -3.301 0.464 -1.673
Ho 0.000 0.000 0.000
```

[5]
# Pr2Sm3Ho2

A relaxed structure of Pr2Sm3Ho2 (GGA-PBE, Alexandria). Values from VASP.

## Properties
The space group is No. 2.

Structure (Quantum ESPRESSO input):
```
&SYSTEM
  ibrav = 0, nat = 7, ntyp = 3
/
ATOMIC_SPECIES
Sm 150.36 Sm.upf
Pr 140.91 Pr.upf
Ho 164.93 Ho.upf
CELL_PARAMETERS angstrom
-3.090 -0.913 -1.678
2.952 -10.459 0.239
-4.375 -0.523 4.429
ATOMIC_POSITIONS angstrom
Sm -2.208 -6.886 -0.044
Sm 0.000 0.000 0.000
Sm -2.304 -5.009 3.034
Pr -4.273 -2.470 1.352
Pr -0.240 -9.425 1.638
Ho -1.091 -3.476 -0.032
Ho -3.422 -8.419 3.022
```

[6]
# Pr15Sm4Ho

A relaxed structure of Pr15Sm4Ho (GGA-PBE, Alexandria). Values from VASP.

## Properties
The space group is No. 123.

Structure (Quantum ESPRESSO input):
```
&SYSTEM
  ibrav = 0, nat = 20, ntyp = 3
/
ATOMIC_SPECIES
Pr 140.91 Pr.upf
Sm 150.36 Sm.upf
Ho 164.93 Ho.upf
CELL_PARAMETERS angstrom
5.224 0.000 0.000
0.000 5.224 0.000
0.000 0.000 26.011
ATOMIC_POSITIONS angstrom
Pr 0.000 2.612 7.785
Pr 2.612 0.000 23.440
Pr 2.612 2.612 15.613
Pr 2.612 2.612 5.172
Pr 2.612 0.000 7.785
Pr 2.612 2.612 20.839
Pr 0.000 2.612 18.226
Pr 2.612 0.000 18.226
Pr 2.612 2.612 10.398
Pr 0.000 2.612 23.440
Pr 2.612 0.000 2.571
Pr 2.612 0.000 13.005
Pr 2.612 2.612 0.000
Pr 0.000 2.612 13.005
Pr 0.000 2.612 2.571
Sm 0.000 0.000 5.176
Sm 0.000 0.000 10.395
Sm 0.000 0.000 20.835
Sm 0.000 0.000 15.616
Ho 0.000 0.000 0.000
```

[7]
# Pr3Sm3Ho

A relaxed structure of Pr3Sm3Ho (GGA-PBE, Alexandria). Values from VASP.

## Properties
The space group is No. 12.

Structure (Quantum ESPRESSO input):
```
&SYSTEM
  ibrav = 0, nat = 14, ntyp = 3
/
ATOMIC_SPECIES
Pr 140.91 Pr.upf
Sm 150.36 Sm.upf
Ho 164.93 Ho.upf
CELL_PARAMETERS angstrom
6.252 0.257 -0.294
-2.555 5.712 -0.294
-0.884 -1.427 13.631
ATOMIC_POSITIONS angstrom
Pr 2.851 4.604 1.508
Pr -2.004 2.569 9.689
Pr -0.379 5.193 3.354
Pr -0.038 -0.061 11.534
Pr 3.193 -0.650 9.689
Pr 4.818 1.974 3.354
Sm 1.809 2.921 4.876
Sm -1.321 3.961 6.521
Sm 4.135 0.582 6.521
Sm 4.209 1.523 -0.294
Sm 1.004 1.622 8.166
Sm -0.512 4.447 -0.294
Ho 1.104 1.782 1.421
Ho 1.710 2.760 11.621
```

[8]
# PrSm6Ho4

A relaxed structure of PrSm6Ho4 (GGA-PBE, Alexandria). Values from VASP.

## Properties
The space group is No. 63.

Structure (Quantum ESPRESSO input):
```
&SYSTEM
  ibrav = 0, nat = 22, ntyp = 3
/
ATOMIC_SPECIES
Sm 150.36 Sm.upf
Ho 164.93 Ho.upf
Pr 140.91 Pr.upf
CELL_PARAMETERS angstrom
5.848 0.000 0.000
-2.924 4.833 0.000
0.000 0.000 25.810
ATOMIC_POSITIONS angstrom
Sm 2.924 0.000 0.000
Sm 2.924 0.000 12.905
Sm 2.924 3.673 17.567
Sm 2.924 2.868 2.577
Sm 2.924 0.503 19.357
Sm 0.000 1.965 15.482
Sm 0.000 1.965 23.233
Sm 0.000 1.160 8.243
Sm 0.000 1.160 4.662
Sm 2.924 3.673 21.147
Sm 0.000 4.330 6.452
Sm 2.924 2.868 10.328
Ho 2.924 0.455 16.074
Ho 0.000 1.440 11.791
Ho 0.000 4.378 3.169
Ho 2.924 3.393 24.696
Ho 0.000 4.378 9.736
Ho 2.924 0.455 22.641
Ho 0.000 1.440 1.114
Ho 2.924 3.393 14.019
Pr 0.000 2.062 19.357
Pr 2.924 2.771 6.452
```

[9]
# Pr2SmHo12

A relaxed structure of Pr2SmHo12 (GGA-PBE, Alexandria). Values from VASP.

## Properties
The space group is No. 67.

Structure (Quantum ESPRESSO input):
```
&SYSTEM
  ibrav = 0, nat = 30, ntyp = 3
/
ATOMIC_SPECIES
Pr 140.91 Pr.upf
Ho 164.93 Ho.upf
Sm 150.36 Sm.upf
CELL_PARAMETERS angstrom
6.486 1.499 -0.001
1.499 6.486 0.001
-0.003 0.004 24.826
ATOMIC_POSITIONS angstrom
Pr 0.749 3.244 6.658
Pr 3.240 0.753 18.168
Pr 7.233 4.745 18.163
Pr 4.741 7.236 6.664
Ho 2.744 5.242 22.869
Ho 7.984 7.985 4.939
Ho 2.745 5.240 1.958
Ho 1.993 2.000 21.691
Ho 3.992 3.993 8.142
Ho 1.996 1.997 14.511
Ho 1.993 1.999 10.315
Ho 3.992 3.993 4.939
Ho -0.002 0.003 19.887
Ho 1.996 1.997 3.135
Ho 5.990 5.987 10.315
Ho 2.750 5.244 10.874
Ho 5.237 2.749 22.868
Ho 3.990 3.996 19.887
Ho 2.738 5.238 13.953
Ho 5.988 5.989 3.135
Ho 5.240 2.754 13.952
Ho 5.986 5.992 21.692
Ho 1.498 6.486 8.142
Ho 3.990 3.996 16.685
Ho 6.483 1.502 16.684
Ho 5.238 2.747 1.958
Ho 5.234 2.741 10.873
Ho 5.984 5.994 14.511
Sm 3.243 0.750 0.000
Sm 0.746 3.247 24.827
```

[10]
# Pr12Sm5Ho

A relaxed structure of Pr12Sm5Ho (GGA-PBE, Alexandria). Values from VASP.

## Properties
The space group is No. 65.

Structure (Quantum ESPRESSO input):
```
&SYSTEM
  ibrav = 0, nat = 18, ntyp = 3
/
ATOMIC_SPECIES
Pr 140.91 Pr.upf
Ho 164.93 Ho.upf
Sm 150.36 Sm.upf
CELL_PARAMETERS angstrom
15.633 -0.004 0.013
7.814 7.816 0.007
-0.004 0.000 5.218
ATOMIC_POSITIONS angstrom
Pr 5.236 5.217 0.004
Pr 10.383 7.814 2.618
Pr 5.220 -0.001 0.005
Pr 13.060 -0.002 2.620
Pr 18.223 7.813 5.233
Pr 18.207 2.594 5.233
Pr 18.221 5.206 2.625
Pr 10.405 2.603 2.618
Pr 13.053 2.598 0.011
Pr 10.391 5.214 5.227
Pr 13.038 5.209 2.620
Pr 5.223 2.606 2.613
Ho 0.000 0.000 0.000
Sm 15.631 5.209 0.013
Sm 7.816 2.603 0.007
Sm 7.815 -0.002 2.616
Sm 7.813 5.219 2.616
Sm 15.630 2.592 2.622
```

[11]
# Pr3Sm2Ho5

A relaxed structure of Pr3Sm2Ho5 (GGA-PBE, Alexandria). Values from VASP.

## Properties
The space group is No. 15.

Structure (Quantum ESPRESSO input):
```
&SYSTEM
  ibrav = 0, nat = 20, ntyp = 3
/
ATOMIC_SPECIES
Ho 164.93 Ho.upf
Pr 140.91 Pr.upf
Sm 150.36 Sm.upf
CELL_PARAMETERS angstrom
8.371 1.563 -3.895
0.218 8.485 -3.958
-1.621 -1.811 10.960
ATOMIC_POSITIONS angstrom
Ho 3.581 2.180 2.943
Ho 6.134 5.164 2.245
Ho 0.834 3.072 0.861
Ho -0.511 5.621 2.869
Ho 1.948 0.299 6.058
Ho 4.641 3.453 5.731
Ho 7.479 2.615 0.238
Ho 3.386 6.056 0.163
Ho 2.326 4.783 -2.624
Ho 5.019 7.936 -2.951
Pr -0.052 6.168 -0.405
Pr 5.799 4.713 -1.965
Pr 0.597 6.953 5.785
Pr 6.370 1.283 -2.679
Pr 1.168 3.523 5.071
Pr 7.020 2.068 3.512
Sm 1.731 8.249 -1.931
Sm 2.894 5.534 3.394
Sm 5.237 -0.013 5.037
Sm 4.074 2.701 -0.288
```

[12]
# Pr7Sm2Ho3

A relaxed structure of Pr7Sm2Ho3 (GGA-PBE, Alexandria). Values from VASP.

## Properties
The space group is No. 10.

Structure (Quantum ESPRESSO input):
```
&SYSTEM
  ibrav = 0, nat = 12, ntyp = 3
/
ATOMIC_SPECIES
Pr 140.91 Pr.upf
Ho 164.93 Ho.upf
Sm 150.36 Sm.upf
CELL_PARAMETERS angstrom
-2.309 2.664 -0.698
-1.765 -2.982 -5.547
-13.958 -10.872 4.671
ATOMIC_POSITIONS angstrom
Pr -8.635 -4.874 0.704
Pr -3.649 -0.699 0.150
Pr -9.397 -6.316 -2.278
Pr -3.295 -3.460 -2.307
Pr 0.000 0.000 0.000
Pr -14.382 -10.490 -1.724
Pr -12.428 -10.394 1.431
Ho -2.037 -0.159 -3.122
Ho -4.960 -4.051 0.946
Ho -10.763 -9.803 -1.822
Sm -6.839 -4.078 -2.198
Sm -11.193 -7.112 0.624
```

| no. | total magnetization (Bohr magnetons per cell) | formation enthalpy at 0 K (eV/atom) | mass density (g/cm3) |
| --- | --- | --- | --- |
| 1 | 0.00 | 0.08 | 7.515 |
| 2 | 0.00 | 0.09 | 7.527 |
| 3 | 0.00 | 0.37 | 7.301 |
| 4 | 0.00 | 0.61 | 5.738 |
| 5 | 0.00 | 0.01 | 7.509 |
| 6 | 0.00 | 0.01 | 6.737 |
| 7 | 0.00 | 0.12 | 7.032 |
| 8 | 0.00 | 0.12 | 7.753 |
| 9 | 0.00 | 0.16 | 8.102 |
| 10 | 0.00 | 0.02 | 6.790 |
| 11 | 0.00 | 0.18 | 7.644 |
| 12 | 0.00 | 0.07 | 7.125 |